1.
Compound: NaGdFeS3
Source: the Open Quantum Materials Database
Functional: PBE-GGA
Structure: relaxed

The structure belongs to space group Pnma (No. 62); the cell edges are 13.2738, 3.8885 and 10.7864 Å and the angles 90.00°, 90.00° and 90.00°. Symmetry generates all atoms from Na at (0.2312, 0.2500, 0.0585), Gd at (0.0134, 0.2500, 0.3412), Fe at (0.0082, 0.7500, 0.0828), S at (0.0923, 0.7500, 0.8920), S at (0.1104, 0.2500, 0.5642) and S at (0.1302, 0.7500, 0.2312).

The calculation puts the polymorph energy (0 for the lowest one) at 0.0021 eV/atom. Its crystal system is orthorhombic. As for the total energy: -5.71 eV/atom. For the volume, the calculation gives 23.2 Å³ per atom.

---

2.
Compound: Gd2NbFeSi2
Source: the Open Quantum Materials Database
Functional: PBE-GGA
Structure: relaxed

The structure belongs to space group P-4m2 (No. 115); the cell edges are 3.9642, 3.9642 and 7.5242 Å and the angles 90.00°, 90.00° and 90.00°. Symmetry generates all atoms from Gd at (0.0000, 0.5000, 0.1522), Nb at (0.5000, 0.5000, 0.5000), Fe at (0.0000, 0.0000, 0.5000) and Si at (0.0000, 0.5000, 0.7230).

Its crystal system is tetragonal. As for the total energy: -6.96 eV/atom. For the volume, the calculation gives 19.7 Å³ per atom.

---

3.
Compound: NdGdFe2Pb
Source: the Open Quantum Materials Database
Functional: PBE-GGA
Structure: relaxed

The structure belongs to space group Amm2 (No. 38); the cell edges are 3.9185, 3.9320 and 14.5005 Å and the angles 90.00°, 90.00° and 90.00°. Symmetry generates all atoms from Nd at (0.0000, 0.0000, 0.0000), Gd at (0.0000, 0.0000, 0.2745), Fe at (0.5000, 0.0000, 0.4278), Fe at (0.5000, 0.0000, 0.8407) and Pb at (0.5000, 0.0000, 0.6396).

Its crystal system is orthorhombic. As for the total energy: -6.10 eV/atom. For the volume, the calculation gives 22.3 Å³ per atom.

---

4.
Compound: NdGdFe2Si2
Source: the Open Quantum Materials Database
Functional: PBE-GGA
Structure: relaxed

The structure belongs to space group P4mm (No. 99); the cell edges are 4.0412, 4.0412 and 6.7190 Å and the angles 90.00°, 90.00° and 90.00°. Symmetry generates all atoms from Nd at (0.0000, 0.0000, 0.0000), Gd at (0.5000, 0.5000, 0.3650), Fe at (0.0000, 0.5000, 0.6723), Si at (0.0000, 0.0000, 0.5027) and Si at (0.5000, 0.5000, 0.8430).

Its crystal system is tetragonal. As for the total energy: -6.74 eV/atom. For the volume, the calculation gives 18.3 Å³ per atom.

---

5.
Compound: Nd3GdY2FeTe2
Source: the Open Quantum Materials Database
Functional: PBE-GGA
Structure: relaxed

The structure belongs to space group Amm2 (No. 38); the cell edges are 4.0564, 14.7044 and 8.4955 Å and the angles 90.00°, 90.00° and 90.00°. Symmetry generates all atoms from Nd at (0.0000, 0.0000, 0.0000), Nd at (0.0000, 0.2008, 0.6051), Gd at (0.5000, 0.0000, 0.6342), Y at (0.5000, 0.1162, 0.2866), Fe at (0.0000, 0.0000, 0.4046) and Te at (0.5000, 0.1673, 0.9042).

Its crystal system is orthorhombic. As for the total energy: -5.81 eV/atom. For the volume, the calculation gives 28.2 Å³ per atom.

---

6.
Compound: Nd3Gd2YFeTe2
Source: the Open Quantum Materials Database
Functional: PBE-GGA
Structure: relaxed

The structure belongs to space group Amm2 (No. 38); the cell edges are 4.0437, 14.7309 and 8.4940 Å and the angles 90.00°, 90.00° and 90.00°. Symmetry generates all atoms from Nd at (0.0000, 0.0000, 0.0000), Nd at (0.0000, 0.2022, 0.3976), Gd at (0.5000, 0.1161, 0.7137), Y at (0.5000, 0.0000, 0.3647), Fe at (0.0000, 0.0000, 0.6001) and Te at (0.5000, 0.1659, 0.0995).

Its crystal system is orthorhombic. As for the total energy: -5.60 eV/atom. For the volume, the calculation gives 28.1 Å³ per atom.

---

7.
Compound: Gd3FeNi8
Source: the Open Quantum Materials Database
Functional: PBE-GGA
Structure: relaxed

The structure belongs to space group R-3m (No. 166, hexagonal axes); the cell edges are 4.9987, 4.9987 and 24.2944 Å and the angles 90.00°, 90.00° and 120.00°. Symmetry generates all atoms from Gd at (0.0000, 0.0000, 0.0000), Gd at (0.0000, 0.0000, 0.1386), Fe at (0.0000, 0.0000, 0.5000), Ni at (0.0000, 0.0000, 0.3333) and Ni at (0.0002, 0.5001, 0.0825).

For the calculated formation energy, the calculation gives -325.0 meV/atom. Its crystal system is trigonal. As for the total energy: -5.89 eV/atom. For the volume, the calculation gives 14.6 Å³ per atom.

---

8.
Compound: GdFeNiP2
Source: the Open Quantum Materials Database
Functional: PBE-GGA
Structure: relaxed

The structure belongs to space group I-4m2 (No. 119); the cell edges are 3.8653, 3.8653 and 9.5445 Å and the angles 90.00°, 90.00° and 90.00°. Symmetry generates all atoms from Gd at (0.0000, 0.0000, 0.0000), Fe at (0.0000, 0.5000, 0.2500), Ni at (0.0000, 0.5000, 0.7500) and P at (0.0000, 0.0000, 0.3725).

Its crystal system is tetragonal. As for the total energy: -6.84 eV/atom. For the volume, the calculation gives 14.3 Å³ per atom.

---

9.
Compound: GdFeSi2Ni
Source: the Open Quantum Materials Database
Functional: PBE-GGA
Structure: relaxed

The structure belongs to space group I-4m2 (No. 119); the cell edges are 3.9144, 3.9144 and 9.7747 Å and the angles 90.00°, 90.00° and 90.00°. Symmetry generates all atoms from Gd at (0.0000, 0.0000, 0.0000), Fe at (0.0000, 0.5000, 0.7500), Si at (0.0000, 0.0000, 0.3723) and Ni at (0.0000, 0.5000, 0.2500).

Its crystal system is tetragonal. As for the total energy: -6.63 eV/atom. For the volume, the calculation gives 15.0 Å³ per atom.

---

10.
Compound: GdY2Fe2Ni7
Source: the Open Quantum Materials Database
Functional: PBE-GGA
Structure: relaxed

The structure belongs to space group R-3m (No. 166, hexagonal axes); the cell edges are 4.9943, 4.9943 and 24.3308 Å and the angles 90.00°, 90.00° and 120.00°. Symmetry generates all atoms from Gd at (0.0000, 0.0000, 0.0000), Y at (0.0000, 0.0000, 0.1389), Fe at (0.0000, 0.0000, 0.3327), Ni at (0.0000, 0.0000, 0.5000) and Ni at (0.0007, 0.5003, 0.0813).

For the calculated formation energy, the calculation gives -327.4 meV/atom. Its crystal system is trigonal. As for the total energy: -6.43 eV/atom. For the volume, the calculation gives 14.6 Å³ per atom.

---

11.
Compound: Gd2YFe6Ni3
Source: the Open Quantum Materials Database
Functional: PBE-GGA
Structure: relaxed

The structure belongs to space group R-3m (No. 166, hexagonal axes); the cell edges are 4.9849, 4.9849 and 24.9606 Å and the angles 90.00°, 90.00° and 120.00°. Symmetry generates all atoms from Gd at (0.0000, 0.0000, 0.1412), Y at (0.0000, 0.0000, 0.0000), Fe at (0.9997, 0.4999, 0.0811), Ni at (0.0000, 0.0000, 0.3331) and Ni at (0.0000, 0.0000, 0.5000).

For the calculated formation energy, the calculation gives -124.7 meV/atom. Its crystal system is trigonal. As for the total energy: -6.99 eV/atom. For the volume, the calculation gives 14.9 Å³ per atom.

---

12.
Compound: Gd2YFe3Ni6
Source: the Open Quantum Materials Database
Functional: PBE-GGA
Structure: relaxed

The structure belongs to space group R-3m (No. 166, hexagonal axes); the cell edges are 5.0261, 5.0261 and 24.2158 Å and the angles 90.00°, 90.00° and 120.00°. Symmetry generates all atoms from Gd at (0.0000, 0.0000, 0.1387), Y at (0.0000, 0.0000, 0.0000), Fe at (0.0000, 0.0000, 0.3332), Fe at (0.0000, 0.0000, 0.5000) and Ni at (0.0007, 0.5004, 0.0818).

For the calculated formation energy, the calculation gives -261.7 meV/atom. Its crystal system is trigonal. As for the total energy: -6.44 eV/atom. For the volume, the calculation gives 14.7 Å³ per atom.